TcCl | PBE | relaxed

abc: 4.920 4.920 6.953
angles: 90.00 90.00 120.00
Fractional positions:
Tc 0.333 0.667 0.087
Tc 0.333 0.667 0.413
Tc 0.667 0.333 0.587
Tc 0.667 0.333 0.913
Cl 0.000 0.000 0.250
Cl 0.000 0.000 0.750
Cl 0.333 0.667 0.750
Cl 0.667 0.333 0.250

Crystal system: hexagonal
Total moment, μB per formula unit: 0.00
Fermi-level density of states, states/eV/cell: 8.4
Space-group type: No. 194
Energy above the most stable polymorph in this dataset, eV per atom: 1.215
Raw formation energy, meV/atom: 1089
Uncorrected energy, eV/atom: -5.017

LiP2Cl | PBE | relaxed

abc: 4.296 4.296 5.087
angles: 90.00 90.00 90.00
Fractional positions:
Li 0.000 0.000 0.000
P 0.500 0.500 0.190
P 0.500 0.500 0.810
Cl 0.000 0.000 0.500

Crystal system: tetragonal
Total moment, μB per formula unit: 0.00
Space-group type: No. 123
Energy above the most stable polymorph in this dataset, eV per atom: 0.442
Raw formation energy, meV/atom: -281
Uncorrected energy, eV/atom: -3.926

CaSn4 | PBE | relaxed

abc: 9.695 9.695 9.695
angles: 151.55 140.14 49.69
Fractional positions:
Ca 0.355 0.105 0.250
Ca 0.645 0.895 0.750
Sn 0.000 0.500 0.500
Sn 0.157 0.907 0.250
Sn 0.175 0.694 0.482
Sn 0.288 0.306 0.982
Sn 0.500 0.500 0.000
Sn 0.712 0.694 0.018
Sn 0.825 0.306 0.518
Sn 0.843 0.093 0.750

Crystal system: orthorhombic
Total moment, μB per formula unit: 0.00
Fermi-level density of states, states/eV/cell: 4.3
Space-group type: No. 74
Formation enthalpy at 0 K, eV/atom: -0.27
Uncorrected energy, eV/atom: -3.875

ZrCoCu2Sn | PBE | relaxed

abc: 4.826 4.826 5.513
angles: 90.00 90.00 90.00
Fractional positions:
Zr 0.000 0.000 0.000
Co 0.500 0.500 0.500
Cu 0.000 0.500 0.000
Cu 0.500 0.000 0.000
Sn 0.000 0.000 0.500

Crystal system: tetragonal
Total moment, μB per formula unit: 2.20
Fermi-level density of states, states/eV/cell: 6.4
Space-group type: No. 123
Formation enthalpy at 0 K, eV/atom: 1.53
Uncorrected energy, eV/atom: -4.042